(1)
VASP calculation (PBE) on an optimized crystal structure of NbTeIr.

Cell lengths 4.5019, 4.5019, 4.5019 Å; angles 60.00, 60.00, 60.00 degrees
With the nearest neighbours (Å) after each atom.
Sites, in units of the cell vectors:
Ir 0.5000 0.5000 0.5000  4 Nb 2.76
Nb 0.2500 0.2500 0.2500  4 Te 2.76, 4 Ir 2.76
Te 0.0000 0.0000 0.0000  4 Nb 2.76

Results
E ... -21.68 eV/f.u.
ρ ... 10.6 g/cm3
Symmetry ... No. 216
Size of the total moment ... 0.01 μB per formula unit

---

(2)
VASP calculation (PBE) on an optimized crystal structure of TbFeMo.

Cell lengths 4.3439, 4.3439, 4.3439 Å; angles 60.00, 60.00, 60.00 degrees
With the nearest neighbours (Å) after each atom.
Sites, in units of the cell vectors:
Fe 0.0000 0.0000 0.0000  4 Mo 2.66, 4 Tb 2.66
Mo 0.2500 0.2500 0.2500  4 Fe 2.66
Tb 0.7500 0.7500 0.7500  4 Fe 2.66

Results
ρ ... 8.9 g/cm3
Energy of formation from the pure elements ... 574 meV per atom
Symmetry ... No. 216
Size of the total moment ... 0.00 μB per formula unit

---

ρ of number 1 (NbTeIr)? 10.6 g/cm3

---

Which value of size of the total moment does entry 2 give? 0.00 μB per formula unit

---

Which value of ρ does entry 2 give? 8.9 g/cm3

---

Which formula does entry 2 have? TbFeMo